1.
Here is a relaxed structure of Pr6SiRu2Cl3 from the Alexandria database. Energies are from GGA-PBE.

Values from the calculation:
E_form (uncorrected), meV per atom: -945

Structure (extended XYZ):
```
12
Lattice="-6.2077 -1.8617 3.2619 6.3413 -2.3552 2.6235 0.4143 7.4781 2.3650" Properties=species:S:1:pos:R:3 pbc="T T T"
Cl -3.9333 1.7960 4.3393
Pr 0.3646 4.7277 3.5138
Cl 0.2740 1.6306 4.1253
Ru 2.1565 -2.1906 2.8364
Pr 2.6230 2.6360 6.2149
Ru -2.0229 -2.0263 3.0491
Cl 4.4812 1.4652 3.9112
Si 0.0000 0.0000 0.0000
Pr -2.0751 0.6253 2.0356
Pr 0.1833 -1.4665 4.7367
Pr -1.7653 2.8085 6.4382
Pr 2.3132 0.4527 1.8123
```


2.
Here is a relaxed structure of TlCu3Pd4 from the Alexandria database. Energies are from GGA-PBE.

Values from the calculation:
E_form, eV/atom: -0.15

Structure (extended XYZ):
```
16
Lattice="4.2104 0.0000 0.0000 0.0000 6.7855 0.0000 0.0000 0.0000 8.4219" Properties=species:S:1:pos:R:3 pbc="T T T"
Pd 4.2095 5.2124 2.1055
Tl 0.0000 3.3928 0.0000
Cu 2.1042 0.0000 2.1055
Cu 0.0000 0.0000 4.2110
Cu 0.0000 0.0000 0.0000
Cu 2.1067 3.3928 6.3164
Cu 2.1037 3.3928 2.1055
Cu 2.1062 0.0000 6.3164
Tl 0.0000 3.3928 4.2110
Pd 2.1052 5.2129 0.0000
Pd 2.1052 1.5726 0.0000
Pd 0.0009 5.2124 6.3164
Pd 2.1052 5.2129 4.2110
Pd 4.2095 1.5731 2.1055
Pd 2.1052 1.5726 4.2110
Pd 0.0009 1.5731 6.3164
```


3.
Here is a relaxed structure of SmTlSn from the Alexandria database. Energies are from GGA-PBE.

Values from the calculation:
Relative energy among the computed polymorphs, meV per atom: 0
E_form, eV/atom: -0.46

Structure (extended XYZ):
```
6
Lattice="4.3150 0.0000 0.0000 0.0000 4.7438 0.0000 0.0000 -2.3719 8.3195" Properties=species:S:1:pos:R:3 pbc="T T T"
Tl 1.0788 2.3719 3.9779
Sn 1.0788 0.0000 7.2240
Sm 1.0788 0.0000 1.5083
Tl 3.2363 0.0000 4.3416
Sn 3.2363 2.3719 1.0954
Sm 3.2363 2.3719 6.8112
```


4.
Here is a relaxed structure of NaScSeBr2 from the Alexandria database. Energies are from GGA-PBE.

Values from the calculation:
Relative energy among the computed polymorphs, meV per atom: 1429
E_form (uncorrected), meV per atom: 44

Structure (extended XYZ):
```
5
Lattice="-5.4101 0.2623 2.0138 -0.1479 -5.1000 0.2669 2.0239 0.2244 5.4080" Properties=species:S:1:pos:R:3 pbc="T T T"
Sc -1.7670 -2.3067 3.8444
Na -0.0739 -2.5500 0.1335
Br -2.7051 0.1311 1.0069
Se 0.0000 0.0000 0.0000
Br 1.0120 0.1122 2.7040
```


5.
Here is a relaxed structure of TcRuSe2 from the Alexandria database. Energies are from GGA-PBE.

Values from the calculation:
Relative energy among the computed polymorphs, meV per atom: 701
E_form (uncorrected), meV per atom: 624

Structure (extended XYZ):
```
4
Lattice="-2.7515 -1.3349 -4.1111 -3.9562 -2.6443 1.9003 2.2834 4.5770 -0.3036" Properties=species:S:1:pos:R:3 pbc="T T T"
Se -6.7056 -3.9779 -2.2101
Se -3.3560 -1.9908 -1.1061
Tc -2.5133 -0.0284 0.2457
Ru -1.9110 0.6262 -2.7601
```


6.
Here is a relaxed structure of LiPr4Y4 from the Alexandria database. Energies are from GGA-PBE.

Values from the calculation:
E_form, eV/atom: 0.59

Structure (extended XYZ):
```
9
Lattice="7.6786 0.0001 -4.4146 -2.5378 7.2471 -4.4146 -0.9106 -1.2838 7.3017" Properties=species:S:1:pos:R:3 pbc="T T T"
Y 4.3470 0.4333 2.8867
Pr 3.1814 4.4849 -3.3519
Pr 3.8393 0.0001 -2.2073
Li 4.2302 5.9635 -1.5275
Y 3.9229 5.5302 -6.7368
Pr -1.2689 3.6236 -2.2073
Pr 1.0488 1.4786 1.8244
Y -1.0278 4.2459 2.8867
Y 1.2183 1.7175 -2.0918
```


7.
Here is a relaxed structure of Nd2DyHo5Th from the Alexandria database. Energies are from GGA-PBE.

Values from the calculation:
E_form, eV/atom: 0.17

Structure (extended XYZ):
```
18
Lattice="-4.7487 -1.0140 -2.8224 -1.5105 -3.8557 9.5149 -3.9144 9.4278 3.1989" Properties=species:S:1:pos:R:3 pbc="T T T"
Ho -3.4020 0.5272 5.5345
Ho -3.1299 -3.2054 6.4177
Th -5.0103 0.6497 8.1965
Nd -3.7666 5.9050 4.2159
Nd -2.1392 2.0047 2.8790
Dy -1.5918 -1.6497 3.2710
Ho -3.4677 1.5352 -0.3052
Nd -8.5730 3.8507 7.4527
Th -6.7605 7.7553 3.0002
Ho -8.1961 0.2242 8.1213
Ho -0.2226 0.1071 0.3360
Ho -7.2766 5.2472 4.7697
Ho -4.7469 -0.2853 2.5010
Ho -6.6006 2.7694 10.1107
Ho -5.1040 4.0661 7.1268
Dy -6.7027 1.6821 5.0849
Ho -5.2618 3.4717 2.0175
Nd -6.2752 -1.6645 5.5678
```


8.
Here is a relaxed structure of LiVCuS from the Alexandria database. Energies are from GGA-PBE.

Values from the calculation:
Relative energy among the computed polymorphs, meV per atom: 22
E_form (uncorrected), meV per atom: -336

Structure (extended XYZ):
```
4
Lattice="3.0773 0.0000 0.0000 -1.5387 2.6650 0.0000 0.0000 0.0000 7.1466" Properties=species:S:1:pos:R:3 pbc="T T T"
Cu 1.5387 0.8883 6.4794
S 0.0000 1.7767 2.6757
Li 0.0000 0.0000 4.3684
V 0.0000 0.0000 1.2076
```


9.
Here is a relaxed structure of Pm3Te from the Alexandria database. Energies are from GGA-PBE.

Values from the calculation:
Relative energy among the computed polymorphs, meV per atom: 174
E_form (uncorrected), meV per atom: -522

Structure (extended XYZ):
```
4
Lattice="4.8899 0.0000 0.0000 0.0000 4.8899 0.0000 0.0000 0.0000 4.8899" Properties=species:S:1:pos:R:3 pbc="T T T"
Pm 2.4449 2.4449 0.0000
Te 0.0000 0.0000 0.0000
Pm 0.0000 2.4449 2.4449
Pm 2.4449 0.0000 2.4449
```


10.
Here is a relaxed structure of SrCuNi2 from the Alexandria database. Energies are from GGA-PBE.

Values from the calculation:
Relative energy among the computed polymorphs, meV per atom: 256
E_form, eV/atom: 0.19

Structure (extended XYZ):
```
8
Lattice="-2.9094 1.9740 -2.8748 -3.3661 -2.5683 1.6430 -4.7881 5.4656 5.0113" Properties=species:S:1:pos:R:3 pbc="T T T"
Sr -5.4176 3.5712 0.7603
Sr 0.0000 0.0000 0.0000
Ni -6.7816 3.2375 3.7052
Ni -2.7125 1.7881 0.3765
Cu -5.6459 1.3001 3.0192
Ni -8.2449 4.2180 2.2720
Ni -4.3881 0.4989 1.2053
Cu -3.1377 -0.2972 -0.6159
```


11.
Here is a relaxed structure of BaCl from the Alexandria database. Energies are from GGA-PBE.

Values from the calculation:
E_form (uncorrected), meV per atom: -1422

Structure (extended XYZ):
```
8
Lattice="2.5689 -4.4494 0.0000 2.5689 4.4494 0.0000 0.0000 0.0000 15.0052" Properties=species:S:1:pos:R:3 pbc="T T T"
Cl 0.0000 0.0000 3.7513
Ba 2.5689 1.4831 5.5435
Ba 2.5689 1.4831 1.9591
Ba 2.5689 -1.4831 13.0461
Cl 0.0000 0.0000 11.2539
Cl 2.5689 -1.4831 3.7513
Ba 2.5689 -1.4831 9.4617
Cl 2.5689 1.4831 11.2539
```


12.
Here is a relaxed structure of Li2Nd3Sb4 from the Alexandria database. Energies are from GGA-PBE.

Values from the calculation:
E_form (uncorrected), meV per atom: -898

Structure (extended XYZ):
```
9
Lattice="-0.1684 -0.4889 -4.4589 6.9811 1.5339 1.8276 -3.3818 -8.6928 1.0809" Properties=species:S:1:pos:R:3 pbc="T T T"
Nd -0.6281 -6.1761 -1.5585
Li 1.1437 -3.0747 -1.9655
Nd 0.0000 0.0000 0.0000
Li 2.2872 -4.5732 0.4151
Sb 1.3694 -7.0870 0.7254
Sb 2.0615 -0.5609 -2.2758
Sb -0.3945 -3.3151 0.3784
Nd 4.0589 -1.4718 0.0081
Sb 3.8253 -4.3328 -1.9288
```


13.
Here is a relaxed structure of CaSe2BrCl from the Alexandria database. Energies are from GGA-PBE.

Values from the calculation:
Relative energy among the computed polymorphs, meV per atom: 0
E_form (uncorrected), meV per atom: -327

Structure (extended XYZ):
```
5
Lattice="-2.4132 0.9081 -4.0522 -4.0628 0.4532 2.5211 1.1215 6.1292 0.7056" Properties=species:S:1:pos:R:3 pbc="T T T"
Se -2.0314 0.2266 1.2605
Se -1.2066 0.4540 -2.0261
Br 0.5608 3.0646 0.3528
Ca -2.6772 3.7452 -0.4127
Cl 0.0000 0.0000 0.0000
```


14.
Here is a relaxed structure of Cs2RePbS4 from the Alexandria database. Energies are from GGA-PBE.

Values from the calculation:
E_form (uncorrected), meV per atom: -616

Structure (extended XYZ):
```
8
Lattice="7.1236 0.2592 0.3971 -2.8008 6.5550 -0.3971 -2.8008 -3.0015 5.8410" Properties=species:S:1:pos:R:3 pbc="T T T"
S -2.1391 3.2126 4.2922
Cs 0.0000 0.0000 0.0000
S 2.1482 1.5598 3.0190
S -1.7837 -0.1479 3.1981
Re -2.8008 1.7768 2.7219
S 4.8185 3.0009 1.1726
Pb 0.7610 -0.4827 4.4800
Cs 0.7610 4.2955 1.3610
```


15.
Here is a relaxed structure of Ho8AgPd2 from the Alexandria database. Energies are from GGA-PBE.

Values from the calculation:
Relative energy among the computed polymorphs, meV per atom: 0
E_form, eV/atom: -0.37

Structure (extended XYZ):
```
11
Lattice="-4.6842 1.1492 -1.5727 -1.3053 -6.6117 -0.9438 -0.0212 1.1708 9.1010" Properties=species:S:1:pos:R:3 pbc="T T T"
Pd -1.8213 -4.1688 2.3784
Pd -4.1894 -0.1228 4.2061
Ho -4.6294 -2.8160 3.5487
Ag -2.3421 0.5746 -0.7863
Ho -4.8452 0.7156 6.7722
Ho -1.5755 1.0291 5.4445
Ho -3.3909 -2.1929 0.3153
Ho -1.1655 -5.0072 -0.1877
Ho -2.6197 -2.0987 6.2692
Ho -4.4352 -5.3207 1.1400
Ho -1.3813 -1.4756 3.0357
```


16.
Here is a relaxed structure of Ca2CoPb from the Alexandria database. Energies are from GGA-PBE.

Values from the calculation:
E_form, eV/atom: 0.01

Structure (extended XYZ):
```
4
Lattice="-2.2099 -4.3797 -3.9562 0.3204 -5.9974 -1.9093 -3.6259 -3.0745 2.0528" Properties=species:S:1:pos:R:3 pbc="T T T"
Pb -1.4634 -3.0019 -0.5633
Co -2.7257 -6.8670 -2.0575
Ca -4.0669 -10.3775 -3.1738
Ca -1.9066 -10.3082 -5.7899
```


17.
Here is a relaxed structure of Ta2Co2Hg from the Alexandria database. Energies are from GGA-PBE.

Values from the calculation:
Relative energy among the computed polymorphs, meV per atom: 0
E_form, eV/atom: -0.04

Structure (extended XYZ):
```
10
Lattice="-6.0144 2.2878 -3.0503 -3.2579 -0.1235 6.3311 0.8427 2.8682 0.4896" Properties=species:S:1:pos:R:3 pbc="T T T"
Ta -2.7250 1.7265 3.9473
Co -5.0840 0.7447 4.3880
Ta -6.2949 2.8491 3.5155
Ta -5.7046 3.3060 -0.1769
Co -7.2923 1.9189 1.3102
Hg -4.6362 1.0822 1.6404
Hg 0.0000 0.0000 0.0000
Ta -2.1347 2.1834 0.2549
Co -4.1883 1.4196 -1.1073
Co -1.9801 0.2454 1.9706
```


18.
Here is a relaxed structure of CoWAu2 from the Alexandria database. Energies are from GGA-PBE.

Values from the calculation:
Relative energy among the computed polymorphs, meV per atom: 0
E_form, eV/atom: 0.18

Structure (extended XYZ):
```
4
Lattice="-1.0351 -1.7227 1.9642 2.5950 -0.9007 0.5776 3.3880 4.8074 6.0015" Properties=species:S:1:pos:R:3 pbc="T T T"
Au 3.3751 4.7397 5.9354
W 3.9437 1.8867 5.7431
Co 3.0089 2.0591 3.3915
Au 0.9997 0.2592 2.7644
```


19.
Here is a relaxed structure of Sm2Er3In2 from the Alexandria database. Energies are from GGA-PBE.

Values from the calculation:
E_form, eV/atom: -0.27

Structure (extended XYZ):
```
7
Lattice="5.4046 0.0000 0.0000 -2.7023 4.6690 -0.1708 0.0000 -2.8259 8.1648" Properties=species:S:1:pos:R:3 pbc="T T T"
In 2.7023 0.2429 6.8321
Sm 0.0000 -1.3457 5.9347
In 0.0000 1.6002 1.1619
Er 0.0000 1.7113 4.3111
Er 2.7023 0.0000 0.0000
Er 2.7023 0.1317 3.6829
Sm 2.7023 3.1888 2.0592
```


20.
Here is a relaxed structure of PrSm2Al2 from the Alexandria database. Energies are from GGA-PBE.

Values from the calculation:
Relative energy among the computed polymorphs, meV per atom: 0
E_form, eV/atom: -0.27

Structure (extended XYZ):
```
10
Lattice="-1.7817 2.3965 2.2940 1.3066 -3.0068 4.1559 12.5215 5.9729 0.3847" Properties=species:S:1:pos:R:3 pbc="T T T"
Al 8.6644 4.3911 2.1385
Sm 2.0823 -1.5761 3.2616
Al 3.3821 0.9714 4.6961
Pr 3.6467 1.2904 1.4727
Sm 9.9641 6.9387 3.5730
Al 11.5192 4.2438 4.5054
Sm 6.3916 1.0815 3.8296
Pr 8.3998 4.0722 5.3620
Al 0.5272 1.1188 2.3292
Sm 5.6548 4.2811 3.0050
```


| no. | total magnetic moment (μB per cell) |
| --- | --- |
| 1 | 0.000 |
| 2 | 0.000 |
| 3 | 0.000 |
| 4 | 1.841 |
| 5 | 0.001 |
| 6 | 0.000 |
| 7 | 0.000 |
| 8 | 0.673 |
| 9 | 0.000 |
| 10 | 1.501 |
| 11 | 0.003 |
| 12 | 0.000 |
| 13 | 0.000 |
| 14 | 0.385 |
| 15 | 0.000 |
| 16 | 1.130 |
| 17 | 0.000 |
| 18 | 0.350 |
| 19 | 0.000 |
| 20 | 0.000 |